Record 1
Compound: ThSc2CdAu4
Source: the Alexandria database
Functional: PBE
Structure: relaxed

The structure in CIF format:
```
data_ThSc2CdAu4
_chemical_formula_sum 'Th1 Sc2 Cd1 Au4'
_symmetry_space_group_name_H-M 'P 1'
_symmetry_Int_Tables_number 1
_symmetry_space_group_name_Hall 'P 1'
_cell_length_a 4.7566
_cell_length_b 4.7566
_cell_length_c 9.2902
_cell_angle_alpha 75.17
_cell_angle_beta 75.17
_cell_angle_gamma 60.00
loop_
_atom_site_label
_atom_site_type_symbol
_atom_site_fract_x
_atom_site_fract_y
_atom_site_fract_z
_atom_site_occupancy
Sc1 Sc 0.7639 0.7639 0.7083 1
Sc2 Sc 0.2361 0.2361 0.2917 1
Au1 Au 0.1192 0.1192 0.6423 1
Au2 Au 0.3905 0.3905 0.8286 1
Au3 Au 0.8808 0.8808 0.3577 1
Au4 Au 0.6095 0.6095 0.1714 1
Th1 Th 0.0000 0.0000 0.0000 1
Cd1 Cd 0.5000 0.5000 0.5000 1
```

V = 174 Å³ per cell
Total moment = 0.0 μB/f.u.
D(E_F) = 5.43 states/eV/cell
Formation energy from the elements = -0.62 eV/atom
Space-group type = R-3m (166)

Record 2
Compound: TbSmSc2Tl4
Source: the Alexandria database
Functional: PBE
Structure: relaxed

The structure in CIF format:
```
data_TbSmSc2Tl4
_chemical_formula_sum 'Tb1 Sm1 Sc2 Tl4'
_symmetry_space_group_name_H-M 'P 1'
_symmetry_Int_Tables_number 1
_symmetry_space_group_name_Hall 'P 1'
_cell_length_a 5.2680
_cell_length_b 5.2680
_cell_length_c 9.1369
_cell_angle_alpha 73.25
_cell_angle_beta 73.25
_cell_angle_gamma 60.00
loop_
_atom_site_label
_atom_site_type_symbol
_atom_site_fract_x
_atom_site_fract_y
_atom_site_fract_z
_atom_site_occupancy
Tl1 Tl 0.6241 0.6241 0.1276 1
Tl2 Tl 0.3759 0.3759 0.8724 1
Tl3 Tl 0.8742 0.8742 0.3774 1
Tl4 Tl 0.1258 0.1258 0.6226 1
Tb1 Tb 0.5000 0.5000 0.5000 1
Sc1 Sc 0.7501 0.7501 0.7497 1
Sc2 Sc 0.2499 0.2499 0.2503 1
Sm1 Sm 0.0000 0.0000 0.0000 1
```

V = 207 Å³ per cell
Total moment = 0.0 μB/f.u.
D(E_F) = 6.68 states/eV/cell
Formation energy from the elements = -0.30 eV/atom
Space-group type = R-3m (166)

Record 3
Compound: CuHF
Source: the Alexandria database
Functional: PBE
Structure: relaxed

The structure in CIF format:
```
data_CuHF
_chemical_formula_sum 'Cu2 H2 F2'
_symmetry_space_group_name_H-M 'P 1'
_symmetry_Int_Tables_number 1
_symmetry_space_group_name_Hall 'P 1'
_cell_length_a 2.5695
_cell_length_b 2.3013
_cell_length_c 11.6900
_cell_angle_alpha 95.65
_cell_angle_beta 89.58
_cell_angle_gamma 90.00
loop_
_atom_site_label
_atom_site_type_symbol
_atom_site_fract_x
_atom_site_fract_y
_atom_site_fract_z
_atom_site_occupancy
F1 F 0.7654 0.6897 0.3795 1
F2 F 0.2346 0.3103 0.6205 1
H1 H 0.2096 0.8105 0.6210 1
H2 H 0.7904 0.1895 0.3790 1
Cu1 Cu 0.7481 0.5449 0.0898 1
Cu2 Cu 0.2519 0.4551 0.9102 1
```

V = 69 Å³ per cell
Total moment = 0.0 μB/f.u.
D(E_F) = 1.07 states/eV/cell
Calculated total energy = -11.39 eV per formula unit
Space-group type = C2/m (12)

> Which value of total moment does entry 1 give?

0.0 μB/f.u.